Entry 1:
First-principles (GGA-PBE) data for SmThSnTe after structural relaxation, as listed in Alexandria via LeMat-Bulk.

Cell: 7.7128 7.7128 7.7128 Å, 34.08 34.08 34.08°
Atoms (fractional coordinates):
Sm (0.0000, 0.0000, 0.0000)
Th (0.4929, 0.4929, 0.4929)
Sn (0.7456, 0.7456, 0.7456)
Te (0.2475, 0.2475, 0.2475)

total DFT energy (no corrections)	-5.7734	eV per atom
formation energy (no corrections)	-0.953	eV per atom
SG	R3m

Entry 2:
First-principles (GGA-PBE) data for Sm6TlSn2Te3 after structural relaxation, as listed in Alexandria via LeMat-Bulk.

Cell: 10.1009 10.1009 9.0128 Å, 105.83 105.83 25.43°
Atoms (fractional coordinates):
Sm (0.0000, 0.0000, 0.2479)
Sm (0.0000, 0.0000, 0.7521)
Sm (0.3306, 0.3306, 0.9259)
Sm (0.3331, 0.3331, 0.4146)
Sm (0.6669, 0.6669, 0.5854)
Sm (0.6694, 0.6694, 0.0741)
Tl (0.5000, 0.5000, 0.5000)
Sn (0.1648, 0.1648, 0.8276)
Sn (0.8352, 0.8352, 0.1724)
Te (0.1674, 0.1674, 0.3298)
Te (0.5000, 0.5000, 0.0000)
Te (0.8326, 0.8326, 0.6702)

total DFT energy (no corrections)	-5.0230	eV per atom
formation energy (no corrections)	-1.014	eV per atom
SG	C2/m

Entry 3:
First-principles (GGA-PBE) data for SmTl3Sn2Te6 after structural relaxation, as listed in Alexandria via LeMat-Bulk.

Cell: 7.8330 7.8330 8.2970 Å, 99.07 99.07 119.96°
Atoms (fractional coordinates):
Sm (0.0000, 0.0000, 0.0000)
Tl (0.1643, 0.8357, 0.5000)
Tl (0.5000, 0.5000, 0.5000)
Tl (0.8357, 0.1643, 0.5000)
Sn (0.3332, 0.6668, 0.0000)
Sn (0.6668, 0.3332, 0.0000)
Te (0.0734, 0.4093, 0.2204)
Te (0.2634, 0.2634, 0.7817)
Te (0.4093, 0.0734, 0.2204)
Te (0.5907, 0.9266, 0.7796)
Te (0.7366, 0.7366, 0.2183)
Te (0.9266, 0.5907, 0.7796)

total DFT energy (no corrections)	-3.7253	eV per atom
formation energy (no corrections)	-0.503	eV per atom
SG	C2/m

Entry 4:
First-principles (GGA-PBE) data for Sm6Tl2SnTe3 after structural relaxation, as listed in Alexandria via LeMat-Bulk.

Cell: 10.3571 10.3571 8.9498 Å, 111.89 111.89 24.94°
Atoms (fractional coordinates):
Sm (0.0078, 0.0078, 0.2481)
Sm (0.3327, 0.3327, 0.8661)
Sm (0.3394, 0.3394, 0.3605)
Sm (0.6606, 0.6606, 0.6395)
Sm (0.6673, 0.6673, 0.1339)
Sm (0.9922, 0.9922, 0.7519)
Tl (0.1888, 0.1888, 0.4109)
Tl (0.8112, 0.8112, 0.5891)
Sn (0.5000, 0.5000, 0.0000)
Te (0.1642, 0.1642, 0.8823)
Te (0.5000, 0.5000, 0.5000)
Te (0.8358, 0.8358, 0.1177)

total DFT energy (no corrections)	-4.8215	eV per atom
formation energy (no corrections)	-0.949	eV per atom
SG	C2/m

Entry 5:
First-principles (GGA-PBE) data for Sm4TlSnTe2 after structural relaxation, as listed in Alexandria via LeMat-Bulk.

Cell: 7.4732 4.4290 8.0506 Å, 90.00 108.85 90.00°
Atoms (fractional coordinates):
Sm (0.2450, 0.0000, 0.2453)
Sm (0.2483, 0.5000, 0.7493)
Sm (0.7517, 0.5000, 0.2507)
Sm (0.7550, 0.0000, 0.7547)
Tl (0.5000, 0.0000, 0.0000)
Sn (0.0000, 0.5000, 0.0000)
Te (0.0000, 0.0000, 0.5000)
Te (0.5000, 0.5000, 0.5000)

total DFT energy (no corrections)	-4.9115	eV per atom
formation energy (no corrections)	-0.970	eV per atom
SG	P2/m

Entry 6:
First-principles (GGA-PBE) data for Sm3Tl4SnTe8 after structural relaxation, as listed in Alexandria via LeMat-Bulk.

Cell: 9.5820 9.5820 9.5820 Å, 56.58 56.58 56.58°
Atoms (fractional coordinates):
Sm (0.0000, 0.5000, 0.5000)
Sm (0.5000, 0.0000, 0.5000)
Sm (0.5000, 0.5000, 0.0000)
Tl (0.0000, 0.0000, 0.5000)
Tl (0.0000, 0.5000, 0.0000)
Tl (0.5000, 0.0000, 0.0000)
Tl (0.5000, 0.5000, 0.5000)
Sn (0.0000, 0.0000, 0.0000)
Te (0.2392, 0.2392, 0.7392)
Te (0.2392, 0.7392, 0.2392)
Te (0.2598, 0.2598, 0.2598)
Te (0.2608, 0.7608, 0.7608)
Te (0.7392, 0.2392, 0.2392)
Te (0.7402, 0.7402, 0.7402)
Te (0.7608, 0.2608, 0.7608)
Te (0.7608, 0.7608, 0.2608)

total DFT energy (no corrections)	-4.1530	eV per atom
formation energy (no corrections)	-0.856	eV per atom
SG	R-3m

Entry 7:
First-principles (GGA-PBE) data for Sm3Tl3SnTe8 after structural relaxation, as listed in Alexandria via LeMat-Bulk.

Cell: 9.6558 9.6558 9.6558 Å, 55.33 55.33 55.33°
Atoms (fractional coordinates):
Sm (0.0000, 0.5000, 0.5000)
Sm (0.5000, 0.0000, 0.5000)
Sm (0.5000, 0.5000, 0.0000)
Tl (0.0000, 0.0000, 0.5000)
Tl (0.0000, 0.5000, 0.0000)
Tl (0.5000, 0.0000, 0.0000)
Sn (0.0000, 0.0000, 0.0000)
Te (0.2330, 0.2330, 0.7465)
Te (0.2330, 0.7465, 0.2330)
Te (0.2535, 0.7670, 0.7670)
Te (0.2597, 0.2597, 0.2597)
Te (0.7403, 0.7403, 0.7403)
Te (0.7465, 0.2330, 0.2330)
Te (0.7670, 0.2535, 0.7670)
Te (0.7670, 0.7670, 0.2535)

total DFT energy (no corrections)	-4.2017	eV per atom
formation energy (no corrections)	-0.842	eV per atom
SG	R-3m

Entry 8:
First-principles (GGA-PBE) data for SmTmSnTe after structural relaxation, as listed in Alexandria via LeMat-Bulk.

Cell: 7.6668 7.6668 7.6668 Å, 33.41 33.41 33.41°
Atoms (fractional coordinates):
Sm (0.0000, 0.0000, 0.0000)
Tm (0.5086, 0.5086, 0.5086)
Sn (0.2515, 0.2515, 0.2515)
Te (0.7576, 0.7576, 0.7576)

total DFT energy (no corrections)	-5.1151	eV per atom
formation energy (no corrections)	-1.031	eV per atom
SG	R3m

Entry 9:
First-principles (GGA-PBE) data for Sm2ThSn after structural relaxation, as listed in Alexandria via LeMat-Bulk.

Cell: 4.9502 4.9502 4.8123 Å, 90.00 90.00 90.00°
Atoms (fractional coordinates):
Sm (0.0000, 0.5000, 0.0000)
Sm (0.5000, 0.0000, 0.0000)
Th (0.0000, 0.0000, 0.5000)
Sn (0.5000, 0.5000, 0.5000)

total DFT energy (no corrections)	-5.5986	eV per atom
calculated formation energy	-148	kJ/mol of formula units
SG	P4/mmm

Entry 10:
First-principles (GGA-PBE) data for Sm3Th2Sn3 after structural relaxation, as listed in Alexandria via LeMat-Bulk.

Cell: 9.3415 9.3415 6.5561 Å, 90.00 90.00 120.00°
Atoms (fractional coordinates):
Sm (0.0000, 0.2454, 0.2500)
Sm (0.0000, 0.7546, 0.7500)
Sm (0.2454, 0.0000, 0.2500)
Sm (0.2454, 0.2454, 0.7500)
Sm (0.7546, 0.0000, 0.7500)
Sm (0.7546, 0.7546, 0.2500)
Th (0.3333, 0.6667, 0.0000)
Th (0.3333, 0.6667, 0.5000)
Th (0.6667, 0.3333, 0.0000)
Th (0.6667, 0.3333, 0.5000)
Sn (0.0000, 0.3876, 0.7500)
Sn (0.0000, 0.6124, 0.2500)
Sn (0.3876, 0.0000, 0.7500)
Sn (0.3876, 0.3876, 0.2500)
Sn (0.6124, 0.0000, 0.2500)
Sn (0.6124, 0.6124, 0.7500)

total DFT energy (no corrections)	-5.7367	eV per atom
calculated formation energy	-472	kJ/mol of formula units
SG	P6_3/mcm

Entry 11:
First-principles (GGA-PBE) data for Sm4ThSn2 after structural relaxation, as listed in Alexandria via LeMat-Bulk.

Cell: 9.0697 9.0697 9.0697 Å, 143.74 143.74 52.22°
Atoms (fractional coordinates):
Sm (0.0000, 0.5000, 0.5000)
Sm (0.1882, 0.1882, 0.0000)
Sm (0.5000, 0.0000, 0.5000)
Sm (0.8118, 0.8118, 0.0000)
Th (0.0000, 0.0000, 0.0000)
Sn (0.3764, 0.3764, 0.0000)
Sn (0.6236, 0.6236, 0.0000)

total DFT energy (no corrections)	-4.4678	eV per atom
calculated formation energy	292	kJ/mol of formula units
SG	I4/mmm

Entry 12:
First-principles (GGA-PBE) data for Sm5ThSn4 after structural relaxation, as listed in Alexandria via LeMat-Bulk.

Cell: 8.6236 8.6236 7.2389 Å, 90.28 90.28 36.74°
Atoms (fractional coordinates):
Sm (0.0000, 0.0000, 0.0000)
Sm (0.3334, 0.3334, 0.0103)
Sm (0.3346, 0.3346, 0.4946)
Sm (0.6654, 0.6654, 0.5054)
Sm (0.6666, 0.6666, 0.9897)
Th (0.0000, 0.0000, 0.5000)
Sn (0.1767, 0.1767, 0.7499)
Sn (0.4916, 0.4916, 0.7551)
Sn (0.5084, 0.5084, 0.2449)
Sn (0.8233, 0.8233, 0.2501)

total DFT energy (no corrections)	-5.2042	eV per atom
calculated formation energy	-484	kJ/mol of formula units
SG	C2/m